(1)
Computed, not measured: a relaxed structure of Sr2PuCd6 at the GGA-PBE level of DFT.

Geometry as POSCAR:
```
Sr2PuCd6
1.0
8.946 0.000 0.000
-4.473 7.747 0.000
0.000 0.000 3.565
Sr Pu Cd
2 1 6
direct
0.333 0.667 0.000 Sr
0.667 0.333 0.000 Sr
0.000 0.000 0.000 Pu
0.000 0.330 0.500 Cd
0.000 0.670 0.500 Cd
0.330 0.000 0.500 Cd
0.330 0.330 0.500 Cd
0.670 0.000 0.500 Cd
0.670 0.670 0.500 Cd
```

Summary:
- crystal system = hexagonal
- E (eV per atom) = -2.7941

(2)
Computed, not measured: a relaxed structure of PuTaCd at the GGA-PBE level of DFT.

Geometry as POSCAR:
```
PuTaCd
1.0
3.235 0.000 0.000
0.000 3.235 0.000
0.000 0.000 12.933
Pu Ta Cd
2 2 2
direct
0.250 0.250 0.224 Pu
0.750 0.750 0.776 Pu
0.250 0.250 0.937 Ta
0.750 0.750 0.063 Ta
0.250 0.250 0.584 Cd
0.750 0.750 0.416 Cd
```

Summary:
- crystal system = tetragonal
- E (eV per atom) = -8.9060

(3)
Computed, not measured: a relaxed structure of Tb2PuCd at the GGA-PBE level of DFT.

Geometry as POSCAR:
```
Tb2PuCd
1.0
1.699 0.981 11.824
-1.699 0.981 11.824
0.000 -1.961 11.824
Tb Pu Cd
2 1 1
direct
0.093 0.093 0.093 Tb
0.907 0.907 0.907 Tb
0.000 0.000 0.000 Pu
0.500 0.500 0.500 Cd
```

Summary:
- crystal system = trigonal
- E (eV per atom) = -5.9063
- distance to the lowest polymorph of the same formula (meV/atom) = 279.0

(4)
Computed, not measured: a relaxed structure of Tb5PuCd4 at the GGA-PBE level of DFT.

Geometry as POSCAR:
```
Tb5PuCd4
1.0
3.692 0.000 0.000
0.000 3.692 0.000
0.000 0.000 19.972
Tb Pu Cd
5 1 4
direct
0.000 0.000 0.000 Tb
0.000 0.000 0.192 Tb
0.000 0.000 0.387 Tb
0.000 0.000 0.613 Tb
0.000 0.000 0.808 Tb
0.500 0.500 0.500 Pu
0.500 0.500 0.096 Cd
0.500 0.500 0.291 Cd
0.500 0.500 0.709 Cd
0.500 0.500 0.904 Cd
```

Summary:
- crystal system = tetragonal
- E (eV per atom) = -4.3201

(5)
Computed, not measured: a relaxed structure of TbPuCd at the GGA-PBE level of DFT.

Geometry as POSCAR:
```
TbPuCd
1.0
-1.714 1.714 7.024
1.714 -1.714 7.024
1.714 1.714 -7.024
Tb Pu Cd
1 1 1
direct
0.000 0.000 0.000 Tb
0.319 0.319 0.000 Pu
0.656 0.656 0.000 Cd
```

Summary:
- crystal system = tetragonal
- E (eV per atom) = -6.6407
- distance to the lowest polymorph of the same formula (meV/atom) = 0.0

(6)
Computed, not measured: a relaxed structure of Tb2PuCd at the GGA-PBE level of DFT.

Geometry as POSCAR:
```
Tb2PuCd
1.0
5.497 0.000 0.000
0.000 5.497 0.000
0.000 0.000 3.610
Tb Pu Cd
2 1 1
direct
0.000 0.500 0.000 Tb
0.500 0.000 0.000 Tb
0.000 0.000 0.500 Pu
0.500 0.500 0.500 Cd
```

Summary:
- crystal system = tetragonal
- E (eV per atom) = -6.1482
- distance to the lowest polymorph of the same formula (meV/atom) = 37.0

(7)
Computed, not measured: a relaxed structure of Tb2PuCd at the GGA-PBE level of DFT.

Geometry as POSCAR:
```
Tb2PuCd
1.0
3.500 0.000 0.000
0.000 3.500 0.000
0.000 0.000 9.138
Tb Pu Cd
2 1 1
direct
0.000 0.000 0.235 Tb
0.000 0.000 0.765 Tb
0.500 0.500 0.500 Pu
0.500 0.500 0.000 Cd
```

Summary:
- crystal system = tetragonal
- E (eV per atom) = -6.1852
- distance to the lowest polymorph of the same formula (meV/atom) = 0.0

(8)
Computed, not measured: a relaxed structure of Tb2PuCd at the GGA-PBE level of DFT.

Geometry as POSCAR:
```
Tb2PuCd
1.0
0.000 3.828 3.828
3.828 0.000 3.828
3.828 3.828 0.000
Tb Pu Cd
2 1 1
direct
0.250 0.250 0.250 Tb
0.750 0.750 0.750 Tb
0.000 0.000 0.000 Pu
0.500 0.500 0.500 Cd
```

Summary:
- crystal system = cubic
- E (eV per atom) = -6.0588
- distance to the lowest polymorph of the same formula (meV/atom) = 126.4

(9)
Computed, not measured: a relaxed structure of Tb4PuCd5 at the GGA-PBE level of DFT.

Geometry as POSCAR:
```
Tb4PuCd5
1.0
3.759 0.000 0.000
0.000 3.759 0.000
0.000 0.000 18.829
Tb Pu Cd
4 1 5
direct
0.000 0.000 0.099 Tb
0.000 0.000 0.298 Tb
0.000 0.000 0.702 Tb
0.000 0.000 0.901 Tb
0.000 0.000 0.500 Pu
0.500 0.500 0.000 Cd
0.500 0.500 0.199 Cd
0.500 0.500 0.395 Cd
0.500 0.500 0.605 Cd
0.500 0.500 0.801 Cd
```

Summary:
- crystal system = tetragonal
- E (eV per atom) = -3.9828

(10)
Computed, not measured: a relaxed structure of TbPuCd at the GGA-PBE level of DFT.

Geometry as POSCAR:
```
TbPuCd
1.0
5.367 0.000 0.000
-2.683 4.648 0.000
0.000 0.000 3.222
Tb Pu Cd
1 1 1
direct
0.000 0.000 0.000 Tb
0.333 0.667 0.604 Pu
0.667 0.333 0.301 Cd
```

Summary:
- crystal system = trigonal
- E (eV per atom) = -6.5776
- distance to the lowest polymorph of the same formula (meV/atom) = 63.1

(11)
Computed, not measured: a relaxed structure of PuCdTc at the GGA-PBE level of DFT.

Geometry as POSCAR:
```
PuCdTc
1.0
4.310 0.000 0.000
-2.152 5.024 0.000
-0.006 -0.998 5.867
Pu Cd Tc
2 2 2
direct
0.007 0.015 0.232 Pu
0.993 0.985 0.768 Pu
0.328 0.657 0.427 Cd
0.672 0.343 0.573 Cd
0.281 0.563 0.927 Tc
0.719 0.437 0.073 Tc
```

Summary:
- crystal system = triclinic
- E (eV per atom) = -8.3287
- distance to the lowest polymorph of the same formula (meV/atom) = 137.7

(12)
Computed, not measured: a relaxed structure of Pu3CdTc2 at the GGA-PBE level of DFT.

Geometry as POSCAR:
```
Pu3CdTc2
1.0
3.244 0.000 0.000
0.000 3.244 0.000
0.000 0.000 12.227
Pu Cd Tc
3 1 2
direct
0.000 0.000 0.000 Pu
0.000 0.000 0.293 Pu
0.000 0.000 0.707 Pu
0.500 0.500 0.500 Cd
0.500 0.500 0.148 Tc
0.500 0.500 0.852 Tc
```

Summary:
- crystal system = tetragonal
- E (eV per atom) = -10.7811

Number 1: ΔE_f -2.0 eV/f.u.. Number 2: ΔE_f 0.4 eV/f.u.. Number 3: ΔE_f 0.9 eV/f.u.. Number 4: ΔE_f -2.1 eV/f.u.. Number 5: ΔE_f 0.0 eV/f.u.. Number 6: ΔE_f -0.1 eV/f.u.. Number 7: ΔE_f -0.2 eV/f.u.. Number 8: ΔE_f 0.3 eV/f.u.. Number 9: ΔE_f -2.4 eV/f.u.. Number 10: ΔE_f 0.1 eV/f.u.. Number 11: ΔE_f 0.6 eV/f.u.. Number 12: ΔE_f 0.0 eV/f.u..